Entry 1:
Sr2ScIr: relaxed, PBEsol.

Unit cell a=4.3004 b=4.3004 c=6.0636 alpha=110.77 beta=110.77 gamma=90.00
Sites, in units of the cell vectors:
Sr (0.2500, 0.7500, 0.5000)
Sr (0.7500, 0.2500, 0.5000)
Sc (0.0000, 0.0000, 0.0000)
Ir (0.5000, 0.5000, 0.0000)

Properties
space group = I4/mmm (139)
energy above the most stable polymorph in this dataset = 516 meV/atom
formation energy = 0.30 eV per atom

=====

Entry 2:
CdInAg2: relaxed, PBEsol.

Unit cell a=3.4461 b=4.6119 c=5.5216 alpha=114.68 beta=108.18 gamma=90.00
Sites, in units of the cell vectors:
Ag (0.0065, 0.0065, 0.0129)
Ag (0.7442, 0.2442, 0.4885)
Cd (0.4918, 0.4918, 0.9835)
In (0.2575, 0.7575, 0.5151)

Properties
space group = Imm2 (44)
formation energy = -0.02 eV per atom

=====

Entry 3:
CrReIr2: relaxed, PBEsol.

Unit cell a=2.6841 b=3.7879 c=5.3349 alpha=90.00 beta=90.00 gamma=90.00
Sites, in units of the cell vectors:
Re (0.5000, 0.5000, 0.0000)
Ir (0.0000, 0.0000, 0.2552)
Ir (0.0000, 0.0000, 0.7448)
Cr (0.5000, 0.5000, 0.5000)

Properties
space group = Pmmm (47)
energy above the most stable polymorph in this dataset = 98 meV/atom
formation energy = -0.17 eV per atom

=====

Entry 4:
AgSe2F: relaxed, PBEsol.

Unit cell a=4.4645 b=4.4645 c=4.4645 alpha=60.00 beta=60.00 gamma=60.00
Sites, in units of the cell vectors:
F (0.0000, 0.0000, 0.0000)
Ag (0.5000, 0.5000, 0.5000)
Se (0.2500, 0.2500, 0.2500)
Se (0.7500, 0.7500, 0.7500)

Properties
space group = Fm-3m (225)

=====

Entry 5:
SmHO2: relaxed, PBEsol.

Unit cell a=3.6446 b=5.1624 c=10.6862 alpha=90.00 beta=90.00 gamma=90.00
Sites, in units of the cell vectors:
Sm (0.7500, 0.6298, 0.6440)
O (0.2500, 0.8813, 0.6809)
O (0.2500, 0.3443, 0.5783)
H (0.2500, 0.1552, 0.6069)
H (0.2500, 0.3448, 0.1069)
H (0.7500, 0.8448, 0.3931)
H (0.7500, 0.6552, 0.8931)
O (0.7500, 0.3813, 0.8191)
Sm (0.2500, 0.3702, 0.3560)
O (0.2500, 0.1557, 0.0783)
O (0.7500, 0.8443, 0.9217)
O (0.2500, 0.6187, 0.1809)
O (0.7500, 0.6557, 0.4217)
O (0.7500, 0.1187, 0.3191)
Sm (0.7500, 0.8702, 0.1440)
Sm (0.2500, 0.1298, 0.8560)

Properties
space group = Pnma (62)

=====

Entry 6:
CoIr3: relaxed, PBEsol.

Unit cell a=2.6906 b=4.2837 c=4.6275 alpha=90.00 beta=90.00 gamma=90.00
Sites, in units of the cell vectors:
Ir (0.0000, 0.5000, 0.3280)
Ir (0.5000, 0.0000, 0.5007)
Ir (0.5000, 0.5000, 0.8377)
Co (0.0000, 0.0000, 0.0001)

Properties
space group = Pmm2 (25)
formation energy = 0.05 eV per atom

=====

Entry 7:
Sc3Te: relaxed, PBEsol.

Unit cell a=5.9843 b=6.7812 c=9.0919 alpha=90.00 beta=90.00 gamma=90.00
Sites, in units of the cell vectors:
Te (0.3980, 0.1130, 0.2500)
Sc (0.8588, 0.9843, 0.2500)
Sc (0.6412, 0.4843, 0.2500)
Te (0.6020, 0.8870, 0.7500)
Sc (0.1412, 0.0157, 0.7500)
Te (0.1020, 0.6130, 0.2500)
Sc (0.8784, 0.7011, 0.9658)
Sc (0.6216, 0.2011, 0.5342)
Sc (0.1216, 0.2989, 0.0342)
Sc (0.6216, 0.2011, 0.9658)
Sc (0.3784, 0.7989, 0.0342)
Sc (0.1216, 0.2989, 0.4658)
Te (0.8980, 0.3870, 0.7500)
Sc (0.8784, 0.7011, 0.5342)
Sc (0.3588, 0.5157, 0.7500)
Sc (0.3784, 0.7989, 0.4658)

Properties
space group = Pnma (62)
energy above the most stable polymorph in this dataset = 0 meV/atom

=====

Entry 8:
BaRe2Br: relaxed, PBEsol.

Unit cell a=2.9772 b=4.8926 c=6.3336 alpha=112.72 beta=103.59 gamma=90.00
Sites, in units of the cell vectors:
Ba (0.5000, 0.0000, 0.0000)
Re (0.2706, 0.2706, 0.5413)
Br (0.0000, 0.5000, 0.0000)
Re (0.7294, 0.7294, 0.4587)

Properties
space group = Immm (71)
energy above the most stable polymorph in this dataset = 713 meV/atom

=====

Entry 9:
RbNdMo2O8: relaxed, PBEsol.

Unit cell a=7.5201 b=7.5201 c=7.7756 alpha=62.03 beta=62.03 gamma=88.85
Sites, in units of the cell vectors:
Rb (0.1952, 0.8048, 0.7500)
Mo (0.6935, 0.6911, 0.2619)
Mo (0.6911, 0.6935, 0.7619)
O (0.7965, 0.9412, 0.6948)
Nd (0.7707, 0.2293, 0.7500)
O (0.3877, 0.2370, 0.4342)
O (0.3684, 0.5797, 0.4761)
O (0.6123, 0.7630, 0.5658)
Rb (0.8048, 0.1952, 0.2500)
O (0.0788, 0.3919, 0.3668)
Nd (0.2293, 0.7707, 0.2500)
Mo (0.3089, 0.3065, 0.2381)
O (0.2035, 0.0588, 0.3052)
O (0.2370, 0.3877, 0.9342)
O (0.6316, 0.4203, 0.5239)
O (0.5797, 0.3684, 0.9761)
O (0.6081, 0.9212, 0.1332)
Mo (0.3065, 0.3089, 0.7381)
O (0.4203, 0.6316, 0.0239)
O (0.7630, 0.6123, 0.0658)
O (0.9212, 0.6081, 0.6332)
O (0.3919, 0.0788, 0.8668)
O (0.0588, 0.2035, 0.8052)
O (0.9412, 0.7965, 0.1948)

Properties
space group = C2/c (15)

=====

Entry 10:
Sc4Tl: relaxed, PBEsol.

Unit cell a=4.4332 b=5.5036 c=5.5036 alpha=80.66 beta=66.25 gamma=66.25
Sites, in units of the cell vectors:
Sc (0.8072, 0.5827, 0.8028)
Sc (0.6100, 0.1972, 0.5827)
Tl (0.0000, 0.0000, 0.0000)
Sc (0.3900, 0.8028, 0.4173)
Sc (0.1928, 0.4173, 0.1972)

Properties
space group = I4/m (87)
energy above the most stable polymorph in this dataset = 0 meV/atom
formation energy = -0.14 eV per atom

=====

Entry 11:
K2LaPt: relaxed, PBEsol.

Unit cell a=3.3604 b=5.8364 c=6.7647 alpha=115.56 beta=90.00 gamma=90.00
Sites, in units of the cell vectors:
K (0.0000, 0.5000, 0.5000)
Pt (0.5000, 0.5000, 0.0000)
K (0.0000, 0.0000, 0.5000)
La (0.5000, 0.0000, 0.0000)

Properties
space group = Cmmm (65)
energy above the most stable polymorph in this dataset = 632 meV/atom
formation energy = 0.40 eV per atom

=====

Entry 12:
FeAgIr2: relaxed, PBEsol.

Unit cell a=2.7069 b=2.7069 c=7.6890 alpha=90.00 beta=90.00 gamma=90.00
Sites, in units of the cell vectors:
Ag (0.0000, 0.0000, 0.5096)
Fe (0.5000, 0.5000, 0.7636)
Ir (0.0000, 0.0000, 0.9931)
Ir (0.5000, 0.5000, 0.2337)

Properties
space group = P4mm (99)
energy above the most stable polymorph in this dataset = 107 meV/atom
formation energy = 0.22 eV per atom

=====

Entry 13:
YTaCd2: relaxed, PBEsol.

Unit cell a=3.1375 b=4.2324 c=6.3967 alpha=90.00 beta=90.00 gamma=90.00
Sites, in units of the cell vectors:
Ta (0.0000, 0.0000, 0.4872)
Y (0.5000, 0.5000, 0.7430)
Cd (0.5000, 0.5000, 0.2563)
Cd (0.0000, 0.0000, 0.0136)

Properties
space group = Pmm2 (25)
energy above the most stable polymorph in this dataset = 0 meV/atom
formation energy = 0.21 eV per atom

=====

Entry 14:
DyAlO3: relaxed, PBEsol.

Unit cell a=5.1697 b=5.1697 c=5.1697 alpha=61.08 beta=61.08 gamma=61.08
Sites, in units of the cell vectors:
Al (0.0000, 0.0000, 0.0000)
Dy (0.2500, 0.2500, 0.2500)
O (0.2500, 0.6748, 0.8252)
O (0.3252, 0.1748, 0.7500)
O (0.6748, 0.8252, 0.2500)
Dy (0.7500, 0.7500, 0.7500)
O (0.1748, 0.7500, 0.3252)
O (0.8252, 0.2500, 0.6748)
Al (0.5000, 0.5000, 0.5000)
O (0.7500, 0.3252, 0.1748)

Properties
space group = R-3c (167)

=====

Entry 15:
BiAsPPd2: relaxed, PBEsol.

Unit cell a=4.6612 b=4.6612 c=4.7634 alpha=90.00 beta=90.00 gamma=90.00
Sites, in units of the cell vectors:
Pd (0.0000, 0.5000, 0.0000)
Bi (0.5000, 0.5000, 0.5000)
P (0.0000, 0.0000, 0.5000)
As (0.0000, 0.0000, 0.0000)
Pd (0.5000, 0.0000, 0.0000)

Properties
space group = P4/mmm (123)
formation energy = 0.34 eV per atom

=====

Entry 16:
Mg3Tl4: relaxed, PBEsol.

Unit cell a=5.9990 b=5.9990 c=5.8005 alpha=90.00 beta=90.00 gamma=120.00
Sites, in units of the cell vectors:
Tl (0.6667, 0.3333, 0.5000)
Tl (0.0000, 0.0000, 0.7464)
Tl (0.3333, 0.6667, 0.5000)
Mg (0.0000, 0.5000, 0.0000)
Tl (0.0000, 0.0000, 0.2536)
Mg (0.5000, 0.0000, 0.0000)
Mg (0.5000, 0.5000, 0.0000)

Properties
space group = P6/mmm (191)
energy above the most stable polymorph in this dataset = 44 meV/atom
formation energy = 0.02 eV per atom

=====

Entry 17:
Li3NbSn: relaxed, PBEsol.

Unit cell a=4.8257 b=4.8257 c=4.8257 alpha=90.00 beta=90.00 gamma=90.00
Sites, in units of the cell vectors:
Li (0.0000, 0.0000, 0.5000)
Li (0.0000, 0.5000, 0.0000)
Sn (0.0000, 0.0000, 0.0000)
Li (0.5000, 0.0000, 0.0000)
Nb (0.5000, 0.5000, 0.5000)

Properties
space group = Pm-3m (221)
formation energy = 0.87 eV per atom

=====

Entry 18:
CsTl2Sn2: relaxed, PBEsol.

Unit cell a=4.4466 b=4.4466 c=9.3506 alpha=103.76 beta=103.76 gamma=90.00
Sites, in units of the cell vectors:
Sn (0.2499, 0.7500, 0.5000)
Cs (0.0000, 0.0000, 0.0000)
Tl (0.3784, 0.3784, 0.7565)
Sn (0.7500, 0.2499, 0.5000)
Tl (0.6216, 0.6216, 0.2435)

Properties
space group = I4/mmm (139)
formation energy = -0.12 eV per atom

=====

Entry 19:
AlIrW2: relaxed, PBEsol.

Unit cell a=2.7545 b=4.3519 c=4.9857 alpha=90.00 beta=96.01 gamma=90.00
Sites, in units of the cell vectors:
Ir (0.3582, 0.5000, 0.7498)
W (0.9668, 0.0000, 0.9933)
Al (0.3887, 0.0000, 0.4897)
W (0.7863, 0.5000, 0.2673)

Properties
space group = Pm (6)
formation energy = -0.16 eV per atom

=====

Entry 20:
TaTcP3: relaxed, PBEsol.

Unit cell a=4.5040 b=4.5040 c=4.5040 alpha=90.00 beta=90.00 gamma=90.00
Sites, in units of the cell vectors:
P (0.0000, 0.0000, 0.5000)
Ta (0.5000, 0.5000, 0.5000)
P (0.0000, 0.5000, 0.0000)
P (0.5000, 0.0000, 0.0000)
Tc (0.0000, 0.0000, 0.0000)

Properties
space group = Pm-3m (221)
formation energy = 0.99 eV per atom

=====

Entry 21:
BTePdN2: relaxed, PBEsol.

Unit cell a=3.6340 b=3.6340 c=7.7635 alpha=90.00 beta=90.00 gamma=90.00
Sites, in units of the cell vectors:
N (0.0000, 0.5000, 0.0000)
Pd (0.0000, 0.0000, 0.0000)
N (0.5000, 0.0000, 0.0000)
Te (0.0000, 0.0000, 0.5000)
B (0.5000, 0.5000, 0.5000)

Properties
space group = P4/mmm (123)

=====

Entry 22:
TcOs2Au: relaxed, PBEsol.

Unit cell a=2.7773 b=4.5994 c=4.6559 alpha=90.00 beta=90.00 gamma=90.00
Sites, in units of the cell vectors:
Os (0.5000, 0.0000, 0.5000)
Os (0.0000, 0.0000, 0.0000)
Tc (0.5000, 0.5000, 0.0000)
Au (0.0000, 0.5000, 0.5000)

Properties
space group = Pmmm (47)
energy above the most stable polymorph in this dataset = 386 meV/atom
formation energy = 0.72 eV per atom

=====

Entry 23:
Al12Tc: relaxed, PBEsol.

Unit cell a=6.4803 b=6.4803 c=6.4803 alpha=109.47 beta=109.47 gamma=109.47
Sites, in units of the cell vectors:
Al (0.4947, 0.3075, 0.1872)
Al (0.8128, 0.5053, 0.6925)
Tc (0.0000, 0.0000, 0.0000)
Al (0.8128, 0.1203, 0.3075)
Al (0.3075, 0.1872, 0.4947)
Al (0.1872, 0.4947, 0.3075)
Al (0.6925, 0.1872, 0.8797)
Al (0.8797, 0.6925, 0.1872)
Al (0.5053, 0.6925, 0.8128)
Al (0.3075, 0.8128, 0.1203)
Al (0.1203, 0.3075, 0.8128)
Al (0.6925, 0.8128, 0.5053)
Al (0.1872, 0.8797, 0.6925)

Properties
space group = Im-3 (204)
formation energy = -0.16 eV per atom

=====

Entry 24:
Li4MnP6H8O22: relaxed, PBEsol.

Unit cell a=6.9485 b=7.2373 c=8.8731 alpha=92.74 beta=75.14 gamma=89.95
Sites, in units of the cell vectors:
H (0.2755, 0.7229, 0.9692)
Li (0.8768, 0.6199, 0.4595)
Mn (0.0000, 0.0000, 0.0000)
P (0.4656, 0.2010, 0.8447)
O (0.6272, 0.2187, 0.3781)
P (0.3146, 0.7710, 0.4730)
O (0.7894, 0.7354, 0.6813)
O (0.1829, 0.7537, 0.9029)
P (0.7788, 0.9393, 0.7171)
Li (0.1232, 0.3801, 0.5405)
Li (0.7838, 0.4992, 0.7749)
P (0.6854, 0.2290, 0.5270)
O (0.1754, 0.6216, 0.4423)
O (0.7513, 0.8075, 0.0739)
O (0.3728, 0.7813, 0.6219)
O (0.4406, 0.0057, 0.1728)
H (0.7321, 0.2238, 0.2074)
H (0.1081, 0.5597, 0.8259)
O (0.7748, 0.0322, 0.5560)
Li (0.2162, 0.5008, 0.2251)
H (0.2679, 0.7762, 0.7926)
O (0.0664, 0.9696, 0.2154)
O (0.2487, 0.1925, 0.9261)
H (0.1009, 0.3418, 0.8316)
H (0.7245, 0.2771, 0.0308)
P (0.5344, 0.7990, 0.1553)
O (0.2106, 0.2646, 0.3187)
P (0.2212, 0.0607, 0.2829)
O (0.9336, 0.0304, 0.7846)
O (0.5194, 0.7557, 0.3352)
O (0.0609, 0.4455, 0.7766)
O (0.9391, 0.5545, 0.2234)
O (0.5594, 0.9943, 0.8272)
O (0.4806, 0.2443, 0.6648)
O (0.8246, 0.3784, 0.5577)
H (0.8991, 0.6582, 0.1684)
O (0.8171, 0.2463, 0.0971)
H (0.8919, 0.4403, 0.1741)
O (0.2252, 0.9678, 0.4440)
O (0.4026, 0.6665, 0.0947)
O (0.5974, 0.3335, 0.9053)

Properties
space group = P-1 (2)

=====

Number 1: magnetic moment 0.0 μB/f.u., raw total energy -4.73 eV/atom. Number 2: magnetic moment 0.0 μB/f.u., raw total energy -2.72 eV/atom. Number 3: magnetic moment 0.7 μB/f.u., raw total energy -10.97 eV/atom. Number 4: magnetic moment 0.0 μB/f.u., raw total energy -3.40 eV/atom. Number 5: magnetic moment 0.0 μB/f.u., raw total energy -7.30 eV/atom. Number 6: magnetic moment 2.2 μB/f.u., raw total energy -9.25 eV/atom. Number 7: magnetic moment 0.0 μB/f.u., raw total energy -6.45 eV/atom. Number 8: magnetic moment 0.0 μB/f.u., raw total energy -6.62 eV/atom. Number 9: magnetic moment 0.0 μB/f.u., raw total energy -8.41 eV/atom. Number 10: magnetic moment 0.0 μB/f.u., raw total energy -5.95 eV/atom. Number 11: magnetic moment 0.4 μB/f.u., raw total energy -3.25 eV/atom. Number 12: magnetic moment 2.6 μB/f.u., raw total energy -7.76 eV/atom. Number 13: magnetic moment 0.0 μB/f.u., raw total energy -5.23 eV/atom. Number 14: magnetic moment 0.0 μB/f.u., raw total energy -8.35 eV/atom. Number 15: magnetic moment 0.0 μB/f.u., raw total energy -5.08 eV/atom. Number 16: magnetic moment 0.0 μB/f.u., raw total energy -2.22 eV/atom. Number 17: magnetic moment 3.5 μB/f.u., raw total energy -3.33 eV/atom. Number 18: magnetic moment 0.0 μB/f.u., raw total energy -3.06 eV/atom. Number 19: magnetic moment 0.0 μB/f.u., raw total energy -10.54 eV/atom. Number 20: magnetic moment 2.3 μB/f.u., raw total energy -7.25 eV/atom. Number 21: magnetic moment 0.0 μB/f.u., raw total energy -4.87 eV/atom. Number 22: magnetic moment 0.0 μB/f.u., raw total energy -9.19 eV/atom. Number 23: magnetic moment 0.0 μB/f.u., raw total energy -4.80 eV/atom. Number 24: magnetic moment 5.0 μB/f.u., raw total energy -6.60 eV/atom.